VASP calculation (PBE+U) on an optimized crystal structure of MnAg2PbF8.

Structure (CIF):
```
data_MnAg2PbF8
_cell_length_a 4.847
_cell_length_b 5.400
_cell_length_c 7.328
_cell_angle_alpha 86.41
_cell_angle_beta 89.58
_cell_angle_gamma 89.09
_space_group_name_H-M_alt 'P -1'
_space_group_IT_number 2
loop_
_space_group_symop_operation_xyz
'x,y,z'
'-x,-y,-z'
loop_
_atom_site_label
_atom_site_type_symbol
_atom_site_fract_x
_atom_site_fract_y
_atom_site_fract_z
_atom_site_occupancy
Mn1 Mn 0.000 0.000 0.000 1
Ag1 Ag 0.476 0.485 0.763 1
Pb1 Pb 0.000 0.000 0.500 1
F1 F 0.166 0.798 0.213 1
F2 F 0.169 0.800 0.802 1
F3 F 0.292 0.225 0.991 1
F4 F 0.377 0.276 0.476 1
```

Values from the calculation:
Calculated volume   191.4 Å³ per cell
M_tot   3.0 μB per cell
Uncorrected energy   -4.511 eV per atom
Fermi-level density of states   0.299 states/eV/atom